1.
PtRhC3: optimized geometry, PBE-GGA.

Cell and atoms, written as CIF:
```
data_PtRhC3
_cell_length_a 3.972
_cell_length_b 3.972
_cell_length_c 3.972
_cell_angle_alpha 90.00
_cell_angle_beta 90.00
_cell_angle_gamma 90.00
_space_group_name_H-M_alt 'P m -3 m'
_space_group_IT_number 221
_space_group_name_Hall '-P 4 2 3'
loop_
_atom_site_label
_atom_site_type_symbol
_atom_site_fract_x
_atom_site_fract_y
_atom_site_fract_z
Pt1 Pt 0.000 0.000 0.000
Rh1 Rh 0.500 0.500 0.500
C1 C 0.000 0.000 0.500
```

Computed properties:
volume	12.5	Å³/atom
density of states at the Fermi level	2.64	states/eV per cell
formation energy from the elements	2513	meV per atom
distance to the lowest polymorph of the same formula	13.57	kJ/mol of atoms

***

2.
Tb2Sm3HoBi6: optimized geometry, PBE-GGA.

Cell and atoms, written as CIF:
```
data_Tb2Sm3HoBi6
_cell_length_a 19.694
_cell_length_b 4.520
_cell_length_c 9.039
_cell_angle_alpha 90.00
_cell_angle_beta 103.19
_cell_angle_gamma 90.00
_space_group_name_H-M_alt 'C 1 2/m 1'
_space_group_IT_number 12
loop_
_space_group_symop_operation_xyz
'x,y,z'
'-x,-y,-z'
'-x,y,-z'
'x,-y,z'
'x+1/2,y+1/2,z'
'-x+1/2,-y+1/2,-z'
'-x+1/2,y+1/2,-z'
'x+1/2,-y+1/2,z'
loop_
_atom_site_label
_atom_site_type_symbol
_atom_site_fract_x
_atom_site_fract_y
_atom_site_fract_z
Tb1 Tb 0.166 0.000 0.333
Sm1 Sm 0.000 0.500 0.500
Sm2 Sm 0.167 0.000 0.833
Ho1 Ho 0.000 0.500 0.000
Bi1 Bi 0.001 0.000 0.246
Bi2 Bi 0.165 0.500 0.085
Bi3 Bi 0.168 0.500 0.581
```

Computed properties:
volume	32.6	Å³/atom
density of states at the Fermi level	4.03	states/eV per cell
formation energy from the elements	-895	meV per atom

***

3.
RbBe2BiBr8: optimized geometry, PBE-GGA.

Cell and atoms, written as CIF:
```
data_RbBe2BiBr8
_cell_length_a 6.6513
_cell_length_b 6.6513
_cell_length_c 31.1550
_cell_angle_alpha 90.00
_cell_angle_beta 90.00
_cell_angle_gamma 120.00
_space_group_name_H-M_alt 'R -3'
_space_group_IT_number 148
_space_group_name_Hall '-R 3'
loop_
_atom_site_label
_atom_site_type_symbol
_atom_site_fract_x
_atom_site_fract_y
_atom_site_fract_z
Rb1 Rb 0.0000 0.0000 0.0000
Be1 Be 0.0000 0.0000 0.2461
Bi1 Bi 0.0000 0.0000 0.5000
Br1 Br 0.0000 0.0000 0.3140
Br2 Br 0.0102 0.3557 0.4442
```

Computed properties:
volume	33.2	Å³/atom
raw formation energy	-1016	meV/atom
density of states at the Fermi level	0.00	states/eV per cell

***

| no. | magnetization (μB/cell) |
| --- | --- |
| 1 | 0.0 |
| 2 | 0.0 |
| 3 | 0.0 |